No. 1
Entry from Alexandria via LeMat-Bulk: HoTcH3 after structural relaxation (PBE-GGA).

Lattice parameters (Å, degrees): 3.6401 3.6401 3.6401 90.00 90.00 90.00
Space group Pm-3m (No. 221)
Asymmetric unit:
1 Ho 0.0000 0.0000 0.0000 (multiplicity 1)
2 Tc 0.5000 0.5000 0.5000 (multiplicity 1)
3 H 0.0000 0.5000 0.5000 (multiplicity 3)

VASP energy, eV per atom: -5.379
Size of the total moment, μB per cell: 0.0
DOS(E_F), states/eV/f.u.: 1.9

---

No. 2
Entry from Alexandria via LeMat-Bulk: ThRh4Au after structural relaxation (PBE-GGA).

Lattice parameters (Å, degrees): 7.5217 7.5217 7.5217 90.00 90.00 90.00
Space group F-43m (No. 216)
Asymmetric unit:
1 Th 0.0000 0.0000 0.0000 (multiplicity 4)
2 Rh 0.1243 0.1243 0.3757 (multiplicity 16)
3 Au 0.2500 0.2500 0.7500 (multiplicity 4)

Calculated formation energy, meV per atom: -427
Size of the total moment, μB per cell: 0.0
DOS(E_F), states/eV/f.u.: 7.7

---

No. 3
Entry from Alexandria via LeMat-Bulk: Ta4Tl3 after structural relaxation (PBE-GGA).

Lattice parameters (Å, degrees): 5.6227 5.6227 5.2305 90.00 90.00 120.00
Space group P6/mmm (No. 191)
Asymmetric unit:
1 Ta 0.0000 0.0000 0.2345 (multiplicity 2)
2 Ta 0.3333 0.6667 0.0000 (multiplicity 2)
3 Tl 0.0000 0.5000 0.5000 (multiplicity 3)

Calculated formation energy, meV per atom: 850
Size of the total moment, μB per cell: 0.0
DOS(E_F), states/eV/f.u.: 4.6

---

No. 4
Entry from Alexandria via LeMat-Bulk: Dy5Tm12Mg2 after structural relaxation (PBE-GGA).

Lattice parameters (Å, degrees): 15.6293 9.0550 8.1911 90.00 90.26 90.00
Space group C2/m (No. 12)
Asymmetric unit:
1 Dy 0.0000 0.0000 0.0000 (multiplicity 2)
2 Dy 0.1991 0.5000 0.5057 (multiplicity 4)
3 Dy 0.2361 0.0000 0.0798 (multiplicity 4)
4 Tm 0.0561 0.5000 0.8305 (multiplicity 4)
5 Tm 0.0894 0.0000 0.3939 (multiplicity 4)
6 Tm 0.1251 0.3057 0.1649 (multiplicity 8)
7 Tm 0.1535 0.1844 0.7457 (multiplicity 8)
8 Mg 0.0000 0.3245 0.5000 (multiplicity 4)

Calculated formation energy, meV per atom: 102
Size of the total moment, μB per cell: 0.0
DOS(E_F), states/eV/f.u.: 29.1

---

No. 5
Entry from Alexandria via LeMat-Bulk: Zn4CdNi2 after structural relaxation (PBE-GGA).

Lattice parameters (Å, degrees): 4.8532 4.8532 12.3631 90.00 90.00 90.00
Space group I4/mmm (No. 139)
Asymmetric unit:
1 Zn 0.0000 0.0000 0.2196 (multiplicity 4)
2 Zn 0.0000 0.5000 0.0000 (multiplicity 4)
3 Cd 0.0000 0.0000 0.0000 (multiplicity 2)
4 Ni 0.0000 0.0000 0.4088 (multiplicity 4)

Calculated formation energy, meV per atom: 576
Size of the total moment, μB per cell: 0.0
DOS(E_F), states/eV/f.u.: 5.9

---

No. 6
Entry from Alexandria via LeMat-Bulk: Sr2PmThO6 after structural relaxation (PBE-GGA).

Lattice parameters (Å, degrees): 6.1260 6.3128 10.7086 90.00 124.67 90.00
Space group P2_1/c (No. 14)
Asymmetric unit:
1 Sr 0.2332 0.0480 0.2493 (multiplicity 4)
2 Pm 0.0000 0.0000 0.5000 (multiplicity 2)
3 Th 0.5000 0.0000 0.0000 (multiplicity 2)
4 O 0.1394 0.1978 0.9372 (multiplicity 4)
5 O 0.2385 0.7050 0.9345 (multiplicity 4)
6 O 0.3711 0.0550 0.7535 (multiplicity 4)

Size of the total moment, μB per cell: 2.1
DOS(E_F), states/eV/f.u.: 6.8
ΔE_f (raw), eV per atom: -3.03

---

No. 7
Entry from Alexandria via LeMat-Bulk: Tl2CdIn2 after structural relaxation (PBE-GGA).

Lattice parameters (Å, degrees): 3.4083 3.4083 41.4996 90.00 90.00 120.00
Space group R-3m (No. 166, hexagonal axes)
Asymmetric unit:
1 Tl 0.0000 0.0000 0.1295 (multiplicity 6)
2 Cd 0.0000 0.0000 0.0000 (multiplicity 3)
3 In 0.0000 0.0000 0.3944 (multiplicity 6)

Calculated formation energy, meV per atom: 31
Size of the total moment, μB per cell: 0.0
DOS(E_F), states/eV/f.u.: 2.3

---

No. 8
Entry from Alexandria via LeMat-Bulk: GdPb3 after structural relaxation (PBE-GGA).

Lattice parameters (Å, degrees): 4.8904 4.8904 4.8904 90.00 90.00 90.00
Space group Pm-3m (No. 221)
Asymmetric unit:
1 Gd 0.0000 0.0000 0.0000 (multiplicity 1)
2 Pb 0.0000 0.5000 0.5000 (multiplicity 3)

Calculated formation energy, meV per atom: -334
Size of the total moment, μB per cell: 6.9
DOS(E_F), states/eV/f.u.: 2.5

---

No. 9
Entry from Alexandria via LeMat-Bulk: Pr2Sm3Y6Pu after structural relaxation (PBE-GGA).

Lattice parameters (Å, degrees): 6.2398 10.8150 11.8324 90.00 100.15 90.00
Space group C2/m (No. 12)
Asymmetric unit:
1 Pr 0.0000 0.1666 0.0000 (multiplicity 4)
2 Sm 0.0000 0.0000 0.5000 (multiplicity 2)
3 Sm 0.0000 0.3330 0.5000 (multiplicity 4)
4 Y 0.2460 0.5000 0.7508 (multiplicity 4)
5 Y 0.2475 0.3355 0.2491 (multiplicity 8)
6 Pu 0.0000 0.5000 0.0000 (multiplicity 2)

Calculated formation energy, meV per atom: 46
Size of the total moment, μB per cell: 12.8
DOS(E_F), states/eV/f.u.: 24.4

---

No. 10
Entry from Alexandria via LeMat-Bulk: La2LuGe after structural relaxation (PBE-GGA).

Lattice parameters (Å, degrees): 4.1507 4.1507 6.8359 90.00 90.00 90.00
Space group P4/mmm (No. 123)
Asymmetric unit:
1 La 0.0000 0.0000 0.2193 (multiplicity 2)
2 Lu 0.5000 0.5000 0.5000 (multiplicity 1)
3 Ge 0.5000 0.5000 0.0000 (multiplicity 1)

Calculated formation energy, meV per atom: -341
Size of the total moment, μB per cell: 0.0
DOS(E_F), states/eV/f.u.: 3.6

---

No. 11
Entry from Alexandria via LeMat-Bulk: Ba4NpTa3O12 after structural relaxation (PBE-GGA).

Lattice parameters (Å, degrees): 8.4267 8.4267 8.4267 90.00 90.00 90.00
Space group Im-3m (No. 229)
Asymmetric unit:
1 Ba 0.2500 0.2500 0.2500 (multiplicity 8)
2 Np 0.0000 0.0000 0.0000 (multiplicity 2)
3 Ta 0.0000 0.0000 0.5000 (multiplicity 6)
4 O 0.0000 0.0000 0.2625 (multiplicity 12)
5 O 0.0000 0.2500 0.5000 (multiplicity 12)

Size of the total moment, μB per cell: 8.4
DOS(E_F), states/eV/f.u.: 8.0
ΔE_f (raw), eV per atom: -2.85

---

No. 12
Entry from Alexandria via LeMat-Bulk: MoAsI2 after structural relaxation (PBE-GGA).

Lattice parameters (Å, degrees): 10.2746 10.2746 4.8501 90.00 90.00 90.00
Space group I-42d (No. 122)
Asymmetric unit:
1 Mo 0.0000 0.0000 0.0000 (multiplicity 4)
2 As 0.0000 0.0000 0.5000 (multiplicity 4)
3 I 0.1021 0.2500 0.1250 (multiplicity 8)

Size of the total moment, μB per cell: 4.0
DOS(E_F), states/eV/f.u.: 1.1
ΔE_f (raw), eV per atom: 0.25